Here is Cs2TeI6N after structural relaxation from Alexandria. Energies are from PBE-GGA.

abc: 8.1408 8.1408 8.1408
angles: 119.70 119.70 90.52
Positions (direct):
1 Cs 0.2500 0.7500 0.5000
2 Cs 0.7500 0.2500 0.5000
3 Te 0.0000 0.0000 0.0000
4 I 0.2665 0.2665 0.5331
5 I 0.2665 0.7335 0.0000
6 I 0.2690 0.2690 0.0000
7 I 0.7310 0.7310 0.0000
8 I 0.7335 0.2665 0.0000
9 I 0.7335 0.7335 0.4669
10 N 0.5000 0.5000 0.0000

Values from the calculation:
As for the calculated density: 5.1 g/cm³. For the electronic total energy, the calculation gives -0.09195 hartree per atom. The calculation puts the density of states at the Fermi level at 0.37 states/eV per atom. The space-group type is I4/mmm, No. 139. For the formation energy (no corrections), the calculation gives -255 meV per atom.

=====

Here is MnCrPt14 after structural relaxation from Alexandria. Energies are from PBE-GGA.

abc: 5.6015 5.6015 7.8266
angles: 90.00 90.00 90.00
Positions (direct):
1 Mn 0.0000 0.0000 0.0000
2 Cr 0.5000 0.5000 0.0000
3 Pt 0.0000 0.0000 0.5000
4 Pt 0.0000 0.5000 0.0000
5 Pt 0.0000 0.5000 0.5000
6 Pt 0.2509 0.2509 0.2426
7 Pt 0.2509 0.2509 0.7574
8 Pt 0.2509 0.7491 0.2426
9 Pt 0.2509 0.7491 0.7574
10 Pt 0.5000 0.0000 0.0000
11 Pt 0.5000 0.0000 0.5000
12 Pt 0.5000 0.5000 0.5000
13 Pt 0.7491 0.2509 0.2426
14 Pt 0.7491 0.2509 0.7574
15 Pt 0.7491 0.7491 0.2426
16 Pt 0.7491 0.7491 0.7574

Values from the calculation:
As for the calculated density: 19.2 g/cm³. The value obtained for the formation enthalpy at 0 K is -2.6 eV/f.u. For the electronic total energy, the calculation gives -0.24348 hartree per atom. The calculation puts the density of states at the Fermi level at 1.41 states/eV per atom. The space-group type is P4/mmm, No. 123.

=====

Here is Ac3As2S2 after structural relaxation from Alexandria. Energies are from PBE-GGA.

abc: 8.2829 8.2829 7.8168
angles: 116.27 116.27 31.58
Positions (direct):
1 Ac 0.0000 0.0000 0.0000
2 Ac 0.2908 0.2908 0.3051
3 Ac 0.7092 0.7092 0.6949
4 As 0.3565 0.3565 0.9841
5 As 0.6435 0.6435 0.0159
6 S 0.1335 0.1335 0.4256
7 S 0.8665 0.8665 0.5744

Values from the calculation:
As for the calculated density: 6.0 g/cm³. For the electronic total energy, the calculation gives -0.21188 hartree per atom. The calculation puts the density of states at the Fermi level at 1.06 states/eV per atom. The space-group type is C2/m, No. 12. For the formation energy (no corrections), the calculation gives -1497 meV per atom.

=====

Here is AcPmCuNi after structural relaxation from Alexandria. Energies are from PBE-GGA.

abc: 4.5337 5.8074 5.8074
angles: 40.17 90.00 90.00
Positions (direct):
1 Ac 0.0000 0.0000 0.0000
2 Pm 0.5000 0.7234 0.7234
3 Cu 0.5000 0.4203 0.4203
4 Ni 0.0000 0.2887 0.2887

Values from the calculation:
As for the calculated density: 8.3 g/cm³. The value obtained for the formation enthalpy at 0 K is -0.8 eV/f.u. For the electronic total energy, the calculation gives -0.17963 hartree per atom. The calculation puts the density of states at the Fermi level at 0.98 states/eV per atom. The offset from the most stable computed form comes out at 0 meV per atom. The space-group type is Amm2, No. 38.

=====

Here is Ce5Bi2Ir2 after structural relaxation from Alexandria. Energies are from PBE-GGA.

abc: 10.2600 10.2600 10.2600
angles: 67.21 125.46 143.83
Positions (direct):
1 Ce 0.2090 0.0620 0.6470
2 Ce 0.2139 0.0567 0.2706
3 Ce 0.2139 0.4433 0.6572
4 Ce 0.4150 0.5620 0.3530
5 Ce 0.7024 0.1549 0.2507
6 Ce 0.7024 0.9517 0.0474
7 Ce 0.7861 0.5567 0.3428
8 Ce 0.7861 0.9433 0.7294
9 Ce 0.9043 0.4517 0.7493
10 Ce 0.9043 0.6549 0.9526
11 Bi 0.2355 0.4013 0.0183
12 Bi 0.2355 0.7172 0.3342
13 Bi 0.3829 0.2172 0.9817
14 Bi 0.3829 0.9013 0.6658
15 Ir 0.7017 0.5728 0.6288
16 Ir 0.7143 0.2143 0.5000
17 Ir 0.7143 0.7143 0.0000
18 Ir 0.9440 0.0728 0.3712

Values from the calculation:
As for the calculated density: 9.8 g/cm³. The value obtained for the formation enthalpy at 0 K is -4.8 eV/f.u. For the electronic total energy, the calculation gives -0.24485 hartree per atom. The calculation puts the density of states at the Fermi level at 2.88 states/eV per atom. The space-group type is Ima2, No. 46.

=====

Here is K2ZrIrBr after structural relaxation from Alexandria. Energies are from PBE-GGA.

abc: 6.4016 6.4016 4.8553
angles: 90.00 90.00 90.00
Positions (direct):
1 K 0.0000 0.5000 0.0000
2 K 0.5000 0.0000 0.0000
3 Zr 0.0000 0.0000 0.5000
4 Ir 0.0000 0.0000 0.0000
5 Br 0.5000 0.5000 0.5000

Values from the calculation:
As for the calculated density: 3.7 g/cm³. For the electronic total energy, the calculation gives -0.15123 hartree per atom. The calculation puts the density of states at the Fermi level at 0.73 states/eV per atom. The space-group type is P4/mmm, No. 123. For the formation energy (no corrections), the calculation gives 140 meV per atom.